Cd2GaSn (PBE-GGA, optimized geometry); volume = 23.958 Å³/atom; energy above the most stable polymorph in this dataset = 21 meV per atom; symmetry = P-3m1, No. 164; VASP energy = -2.14 eV per atom; calculated formation energy = 0.07 eV/atom
1.0
3.441 0.000 0.000
-1.720 2.980 0.000
0.000 0.000 9.342
Cd Ga Sn
2 1 1
Direct
0.333 0.667 0.232 Cd
0.667 0.333 0.768 Cd
0.000 0.000 0.000 Ga
0.000 0.000 0.500 Sn